Model a:
A relaxed structure of SrLaPb3. Source: Alexandria, functional PBE-GGA.

abc: 6.0708 6.0708 6.0708
angles: 90.00 90.00 90.00
Closest atoms and distances in Å follow each position.
Space group Pm-3m (No. 221)
Inequivalent atoms, fractional coordinates:
Sr (0.0000, 0.0000, 0.0000)  12 Pb 4.29
La (0.5000, 0.5000, 0.5000)  6 Pb 3.04
Pb (0.0000, 0.5000, 0.5000)  2 La 3.04


Model b:
A relaxed structure of SrLaPb3. Source: Alexandria, functional PBE-GGA.

abc: 5.8780 5.8780 5.8780
angles: 90.00 90.00 90.00
Closest atoms and distances in Å follow each position.
Space group Pm-3m (No. 221)
Inequivalent atoms, fractional coordinates:
Sr (0.0000, 0.0000, 0.0000)  6 Pb 2.94
La (0.5000, 0.5000, 0.5000)  12 Pb 4.16
Pb (0.0000, 0.0000, 0.5000)  2 Sr 2.94


On energetic grounds, model a is preferred over the next structure by 268 meV per atom.


Model a:
A relaxed structure of LaTaPb3. Source: Alexandria, functional PBE-GGA.

abc: 5.9412 5.9412 5.9412
angles: 90.00 90.00 90.00
Closest atoms and distances in Å follow each position.
Space group Pm-3m (No. 221)
Inequivalent atoms, fractional coordinates:
La (0.0000, 0.0000, 0.0000)  6 Pb 2.97
Ta (0.5000, 0.5000, 0.5000)  12 Pb 4.20
Pb (0.0000, 0.0000, 0.5000)  2 La 2.97


Model b:
A relaxed structure of LaTaPb3. Source: Alexandria, functional PBE-GGA.

abc: 5.4774 5.4774 5.4774
angles: 90.00 90.00 90.00
Closest atoms and distances in Å follow each position.
Space group Pm-3m (No. 221)
Inequivalent atoms, fractional coordinates:
La (0.0000, 0.0000, 0.0000)  12 Pb 3.87
Ta (0.5000, 0.5000, 0.5000)  6 Pb 2.74
Pb (0.0000, 0.5000, 0.5000)  2 Ta 2.74


On energetic grounds, model b is preferred over the next structure by 1366 meV per atom.


Model a:
A relaxed structure of LaTaPb. Source: Alexandria, functional PBE-GGA.

abc: 3.2994 3.2994 8.2268
angles: 90.00 90.00 120.00
Closest atoms and distances in Å follow each position.
Space group P3m1 (No. 156)
Inequivalent atoms, fractional coordinates:
La (0.0000, 0.0000, 0.0000)  3 Ta 3.29, 6 La 3.30, 3 Pb 3.62
Ta (0.3333, 0.6667, 0.6746)  3 Pb 3.12, 3 La 3.29, 6 Ta 3.30
Pb (0.6667, 0.3333, 0.3748)  3 Ta 3.12, 6 Pb 3.30


Model b:
A relaxed structure of LaTaPb. Source: Alexandria, functional PBE-GGA.

abc: 7.1619 7.1619 7.1619
angles: 90.00 90.00 90.00
Closest atoms and distances in Å follow each position.
Space group F-43m (No. 216)
Inequivalent atoms, fractional coordinates:
La (0.0000, 0.0000, 0.0000)  4 Pb 3.10
Ta (0.0000, 0.0000, 0.5000)  4 Pb 3.10
Pb (0.2500, 0.2500, 0.2500)  4 Ta 3.10, 4 La 3.10


On energetic grounds, model a is preferred over the next structure by 311 meV per atom.


Model a:
A relaxed structure of LaTaPb. Source: Alexandria, functional PBE-GGA.

abc: 3.2009 3.2009 15.2567
angles: 90.00 90.00 90.00
Closest atoms and distances in Å follow each position.
Space group I4mm (No. 107)
Inequivalent atoms, fractional coordinates:
La (0.0000, 0.0000, 0.0000)  4 La 3.20, 4 Ta 3.32
Ta (0.0000, 0.0000, 0.6594)  4 Ta 3.20, 4 Pb 3.21, 4 La 3.32
Pb (0.0000, 0.0000, 0.3082)  4 Pb 3.20, 4 Ta 3.21


Model b:
A relaxed structure of LaTaPb. Source: Alexandria, functional PBE-GGA.

abc: 7.3828 7.3828 7.3828
angles: 90.00 90.00 90.00
Closest atoms and distances in Å follow each position.
Space group F-43m (No. 216)
Inequivalent atoms, fractional coordinates:
La (0.0000, 0.0000, 0.0000)  4 Pb 3.20, 4 Ta 3.20
Ta (0.2500, 0.2500, 0.2500)  4 La 3.20
Pb (0.2500, 0.2500, 0.7500)  4 La 3.20


Model c:
A relaxed structure of LaTaPb. Source: Alexandria, functional PBE-GGA.

abc: 3.8007 3.8007 11.1533
angles: 90.00 90.00 90.00
Closest atoms and distances in Å follow each position.
Space group I4mm (No. 107)
Inequivalent atoms, fractional coordinates:
La (0.0000, 0.0000, 0.0000)  5 Pb 3.34-3.50, 5 Ta 3.43-3.45
Ta (0.0000, 0.0000, 0.3089)  4 Pb 2.95
Pb (0.0000, 0.0000, 0.7005)  4 Ta 2.95


On energetic grounds, model a is preferred over the next structure by 41 meV per atom.


Model a:
A relaxed structure of La2Ta2Pb. Source: Alexandria, functional PBE-GGA.

abc: 4.6759 4.6759 13.2526
angles: 90.00 90.00 90.00
Closest atoms and distances in Å follow each position.
Space group I4/mmm (No. 139)
Inequivalent atoms, fractional coordinates:
La (0.0000, 0.5000, 0.2500)  4 Ta 3.17, 4 La 3.31
Ta (0.0000, 0.0000, 0.0883)  1 Ta 2.34
Pb (0.0000, 0.0000, 0.5000)  8 Ta 3.51


Model b:
A relaxed structure of La2Ta2Pb. Source: Alexandria, functional PBE-GGA.

abc: 7.5963 7.5963 4.6558
angles: 90.00 90.00 90.00
Closest atoms and distances in Å follow each position.
Space group P4/mbm (No. 127)
Inequivalent atoms, fractional coordinates:
La (0.1806, 0.3194, 0.0000)  6 Ta 3.15-3.30
Ta (0.1214, 0.6214, 0.5000)  1 Ta 2.61
Pb (0.0000, 0.0000, 0.5000)  4 Ta 3.02


On energetic grounds, model b is preferred over the next structure by 710 meV per atom.


Model a:
A relaxed structure of LaTb2Pb. Source: Alexandria, functional PBE-GGA.

abc: 3.5830 3.5830 36.5668
angles: 90.00 90.00 120.00
Closest atoms and distances in Å follow each position.
Space group R-3m (No. 166, hexagonal axes)
Inequivalent atoms, fractional coordinates:
La (0.0000, 0.0000, 0.0000)  6 Tb 3.57, 6 La 3.58
Tb (0.0000, 0.0000, 0.4131)  1 Pb 3.18
Pb (0.0000, 0.0000, 0.5000)  2 Tb 3.18


Model b:
A relaxed structure of LaTb2Pb. Source: Alexandria, functional PBE-GGA.

abc: 4.9895 4.9895 4.8547
angles: 90.00 90.00 90.00
Closest atoms and distances in Å follow each position.
Space group P4/mmm (No. 123)
Inequivalent atoms, fractional coordinates:
La (0.0000, 0.0000, 0.0000)  8 Tb 3.48, 4 Pb 3.53
Tb (0.0000, 0.5000, 0.5000)  4 Pb 3.48, 4 La 3.48, 4 Tb 3.53
Pb (0.5000, 0.5000, 0.0000)  8 Tb 3.48, 4 La 3.53


Model c:
A relaxed structure of LaTb2Pb. Source: Alexandria, functional PBE-GGA.

abc: 3.6360 3.6360 33.7000
angles: 90.00 90.00 120.00
Closest atoms and distances in Å follow each position.
Space group R3m (No. 160, hexagonal axes)
Inequivalent atoms, fractional coordinates:
La (0.0000, 0.0000, 0.0000)  6 La 3.64, 6 Tb 3.65-3.66
Tb (0.0000, 0.0000, 0.2442)  3 Pb 3.35, 6 Tb 3.64, 3 La 3.66
Tb (0.0000, 0.0000, 0.4220)  3 Pb 3.37, 6 Tb 3.64, 3 La 3.65
Pb (0.0000, 0.0000, 0.8334)  6 Tb 3.35-3.37, 6 Pb 3.64


Model d:
A relaxed structure of LaTb2Pb. Source: Alexandria, functional PBE-GGA.

abc: 3.9109 3.9109 8.2294
angles: 90.00 90.00 90.00
Closest atoms and distances in Å follow each position.
Space group P4/mmm (No. 123)
Inequivalent atoms, fractional coordinates:
La (0.0000, 0.0000, 0.0000)  8 Tb 3.61, 4 La 3.91
Tb (0.5000, 0.5000, 0.2813)  4 Pb 3.30, 1 Tb 3.60, 4 La 3.61
Pb (0.0000, 0.0000, 0.5000)  8 Tb 3.30


On energetic grounds, model b is preferred over the next structure by 108 meV per atom.


Model a:
A relaxed structure of La2Tb3Pb4. Source: Alexandria, functional PBE-GGA.

abc: 8.5622 8.5385 8.3136
angles: 90.00 111.20 90.00
Closest atoms and distances in Å follow each position.
Space group P2_1/c (No. 14)
Inequivalent atoms, fractional coordinates:
La (0.1926, 0.1790, 0.0590)  5 Pb 3.26-3.56
Tb (0.2460, 0.6602, 0.2403)  6 Pb 3.12-3.30
Tb (0.5000, 0.0000, 0.5000)  6 Pb 3.24-3.32
Pb (0.0864, 0.5420, 0.8359)  4 Tb 3.12-3.32, 2 La 3.35-3.49
Pb (0.4927, 0.1396, 0.8602)  5 Tb 3.16-3.28, 1 La 3.26, 1 Pb 3.30


Model b:
A relaxed structure of La2Tb3Pb4. Source: Alexandria, functional PBE-GGA.

abc: 7.2412 17.5540 9.1197
angles: 90.00 90.00 90.00
Closest atoms and distances in Å follow each position.
Space group Cmce (No. 64)
Inequivalent atoms, fractional coordinates:
La (0.0000, 0.1112, 0.0884)  6 Pb 3.43-3.84
Tb (0.0000, 0.0000, 0.5000)  6 Pb 2.96-3.30
Tb (0.2500, 0.2068, 0.7500)  5 Pb 3.07-3.34
Pb (0.0000, 0.1859, 0.4450)  5 Tb 3.16-3.34, 1 La 3.51
Pb (0.2500, 0.0318, 0.7500)  3 Tb 2.96-3.07


On energetic grounds, model a is preferred over the next structure by 124 meV per atom.


Model a:
A relaxed structure of LaTbTlPb. Source: Alexandria, functional PBE-GGA.

abc: 7.8371 7.8371 7.8371
angles: 90.00 90.00 90.00
Closest atoms and distances in Å follow each position.
Space group F-43m (No. 216)
Inequivalent atoms, fractional coordinates:
La (0.0000, 0.0000, 0.0000)  4 Tl 3.39, 4 Pb 3.39
Tb (0.0000, 0.0000, 0.5000)  4 Tl 3.39, 4 Pb 3.39
Tl (0.2500, 0.2500, 0.7500)  4 Tb 3.39, 4 La 3.39
Pb (0.2500, 0.2500, 0.2500)  4 Tb 3.39, 4 La 3.39


Model b:
A relaxed structure of LaTbTlPb. Source: Alexandria, functional PBE-GGA.

abc: 5.1407 5.1407 8.9844
angles: 90.00 90.00 90.00
Closest atoms and distances in Å follow each position.
Space group I-4m2 (No. 119)
Inequivalent atoms, fractional coordinates:
La (0.0000, 0.0000, 0.0000)  4 Tl 3.41, 4 Pb 3.41, 4 Tb 3.64
Tb (0.0000, 0.0000, 0.5000)  4 Tl 3.41, 4 Pb 3.41, 4 La 3.64
Tl (0.0000, 0.5000, 0.7500)  4 Tb 3.41, 4 La 3.41, 4 Pb 3.64
Pb (0.0000, 0.5000, 0.2500)  4 Tb 3.41, 4 La 3.41, 4 Tl 3.64


On energetic grounds, model b is preferred over the next structure by 26 meV per atom.


Model a:
A relaxed structure of LaTcPb2. Source: Alexandria, functional PBE-GGA.

abc: 4.6105 4.6105 9.9089
angles: 90.00 90.00 90.00
Closest atoms and distances in Å follow each position.
Space group I-4m2 (No. 119)
Inequivalent atoms, fractional coordinates:
La (0.0000, 0.0000, 0.0000)  8 Pb 3.26-3.38, 4 Tc 3.38
Tc (0.0000, 0.5000, 0.2500)  8 Pb 3.26-3.38, 4 La 3.38
Pb (0.0000, 0.0000, 0.5000)  4 La 3.26, 4 Pb 3.38, 4 Tc 3.38
Pb (0.0000, 0.5000, 0.7500)  4 Tc 3.26, 4 La 3.38, 4 Pb 3.38


Model b:
A relaxed structure of LaTcPb2. Source: Alexandria, functional PBE-GGA.

abc: 7.4169 7.4169 7.4169
angles: 90.00 90.00 90.00
Closest atoms and distances in Å follow each position.
Space group F-43m (No. 216)
Inequivalent atoms, fractional coordinates:
La (0.0000, 0.0000, 0.0000)  4 Pb 3.21, 4 Tc 3.21
Tc (0.2500, 0.2500, 0.2500)  4 Pb 3.21, 4 La 3.21
Pb (0.0000, 0.0000, 0.5000)  4 Pb 3.21, 4 Tc 3.21
Pb (0.2500, 0.2500, 0.7500)  4 La 3.21, 4 Pb 3.21


On energetic grounds, model a is preferred over the next structure by 39 meV per atom.


Model a:
A relaxed structure of LaTcPb2. Source: Alexandria, functional PBE-GGA.

abc: 3.4992 3.4992 28.9890
angles: 90.00 90.00 120.00
Closest atoms and distances in Å follow each position.
Space group R-3m (No. 166, hexagonal axes)
Inequivalent atoms, fractional coordinates:
La (0.0000, 0.0000, 0.0000)  6 Pb 3.48, 6 La 3.50
Tc (0.0000, 0.0000, 0.5000)  6 Pb 2.84
Pb (0.0000, 0.0000, 0.2357)  3 Tc 2.84


Model b:
A relaxed structure of LaTcPb2. Source: Alexandria, functional PBE-GGA.

abc: 3.4386 4.7486 13.0265
angles: 90.00 90.00 90.00
Closest atoms and distances in Å follow each position.
Space group Imm2 (No. 44)
Inequivalent atoms, fractional coordinates:
La (0.0000, 0.0000, 0.0000)  2 Tc 2.98
Tc (0.0000, 0.5000, 0.3130)  6 Pb 2.90-2.93, 2 La 2.98
Pb (0.0000, 0.0000, 0.6339)  2 Tc 2.90
Pb (0.0000, 0.5000, 0.8167)  4 Tc 2.93


On energetic grounds, model b is preferred over the next structure by 85 meV per atom.


Model a:
A relaxed structure of LaTcPb2. Source: Alexandria, functional PBE-GGA.

abc: 3.5205 3.5205 7.8630
angles: 90.00 90.00 90.00
Closest atoms and distances in Å follow each position.
Space group P4/mmm (No. 123)
Inequivalent atoms, fractional coordinates:
La (0.0000, 0.0000, 0.0000)  8 Pb 3.42, 4 La 3.52
Tc (0.0000, 0.0000, 0.5000)  8 Pb 2.95
Pb (0.5000, 0.5000, 0.2975)  4 Tc 2.95, 1 Pb 3.18


Model b:
A relaxed structure of LaTcPb2. Source: Alexandria, functional PBE-GGA.

abc: 10.6272 3.5603 6.4369
angles: 90.00 116.87 90.00
Closest atoms and distances in Å follow each position.
Space group Cm (No. 8)
Inequivalent atoms, fractional coordinates:
La (0.0000, 0.0000, 0.0000)  1 Tc 2.57
Tc (0.2350, 0.0000, 0.9766)  1 La 2.57, 4 Pb 2.84-2.85
Pb (0.1321, 0.5000, 0.5905)  2 Tc 2.84, 1 Pb 3.06
Pb (0.3305, 0.5000, 0.3636)  2 Tc 2.85, 1 Pb 3.06


Model c:
A relaxed structure of LaTcPb2. Source: Alexandria, functional PBE-GGA.

abc: 3.5448 5.6108 10.4002
angles: 90.00 90.00 90.00
Closest atoms and distances in Å follow each position.
Space group Immm (No. 71)
Inequivalent atoms, fractional coordinates:
La (0.0000, 0.0000, 0.0000)  4 Tc 3.32, 8 Pb 3.46-3.58, 2 La 3.54
Tc (0.0000, 0.0000, 0.5000)  4 Pb 2.85
Pb (0.0000, 0.5000, 0.2140)  2 Tc 2.85


On energetic grounds, model b is preferred over the next structure by 9 meV per atom.